Entry 1:
VASP calculation (PBE-GGA) on a geometry-optimized LiCrBi3 structure.

POSCAR file:
```
LiCrBi3
1.0
5.095 0.000 0.000
0.000 5.095 0.000
0.000 0.000 5.095
Li Cr Bi
1 1 3
direct
0.000 0.000 0.000
0.500 0.500 0.500
0.000 0.000 0.500
0.000 0.500 0.000
0.500 0.000 0.000
```

Computed properties:
- E_tot: -3.66 eV per atom
- Energy of formation from the pure elements: 980.9 meV per atom

***

Entry 2:
VASP calculation (PBE-GGA) on a geometry-optimized SiAsPRh2C structure.

POSCAR file:
```
SiAsPRh2C
1.0
2.862 0.000 0.000
0.306 5.065 0.000
0.197 2.150 6.194
Si As P Rh C
1 1 1 2 1
direct
0.000 0.000 0.000
0.543 0.670 0.695
0.462 0.435 0.311
0.491 0.164 0.693
0.558 0.986 0.316
0.944 0.640 0.203
```

Computed properties:
- E_tot: -6.62 eV per atom
- Formation energy from raw total energies: -54 meV/atom

***

Entry 3:
VASP calculation (PBE-GGA) on a geometry-optimized AcTb2In structure.

POSCAR file:
```
AcTb2In
1.0
3.638 0.000 0.000
-1.819 3.151 0.000
0.000 0.000 36.175
Ac Tb In
3 6 3
direct
0.000 0.000 0.000
0.333 0.667 0.667
0.667 0.333 0.333
0.000 0.000 0.100
0.000 0.000 0.900
0.333 0.667 0.567
0.333 0.667 0.766
0.667 0.333 0.234
0.667 0.333 0.433
0.000 0.000 0.500
0.333 0.667 0.167
0.667 0.333 0.833
```

Computed properties:
- E_tot: -3.98 eV per atom
- Energy of formation from the pure elements: 51.5 meV per atom

***

Entry 4:
VASP calculation (PBE-GGA) on a geometry-optimized CsMnCl2 structure.

POSCAR file:
```
CsMnCl2
1.0
6.590 0.000 0.000
0.000 6.590 0.000
0.000 0.000 13.278
Cs Mn Cl
4 4 8
direct
0.000 0.000 0.000
0.000 0.500 0.250
0.500 0.000 0.750
0.500 0.500 0.500
0.000 0.000 0.500
0.000 0.500 0.750
0.500 0.000 0.250
0.500 0.500 0.000
0.112 0.250 0.625
0.250 0.612 0.875
0.250 0.888 0.375
0.388 0.250 0.125
0.612 0.750 0.125
0.750 0.112 0.375
0.750 0.388 0.875
0.888 0.750 0.625
```

Computed properties:
- E_tot: -4.34 eV per atom
- Formation energy from raw total energies: -911 meV/atom

***

Entry 5:
VASP calculation (PBE-GGA) on a geometry-optimized ScZnCl3 structure.

POSCAR file:
```
ScZnCl3
1.0
4.910 0.000 0.000
0.000 4.910 0.000
0.000 0.000 4.910
Sc Zn Cl
1 1 3
direct
0.000 0.000 0.000
0.500 0.500 0.500
0.000 0.500 0.500
0.500 0.000 0.500
0.500 0.500 0.000
```

Computed properties:
- E_tot: -3.24 eV per atom
- Formation energy from raw total energies: -612 meV/atom

***

Entry 6:
VASP calculation (PBE-GGA) on a geometry-optimized FeBr3 structure.

POSCAR file:
```
FeBr3
1.0
8.330 0.000 0.000
0.000 14.064 0.000
0.000 0.000 7.120
Fe Br
4 12
direct
0.000 0.175 0.250
0.000 0.825 0.750
0.500 0.325 0.750
0.500 0.675 0.250
0.000 0.337 0.250
0.000 0.663 0.750
0.238 0.094 0.250
0.238 0.906 0.750
0.262 0.406 0.750
0.262 0.594 0.250
0.500 0.163 0.750
0.500 0.837 0.250
0.738 0.406 0.750
0.738 0.594 0.250
0.762 0.094 0.250
0.762 0.906 0.750
```

Computed properties:
- E_tot: -3.66 eV per atom
- Formation energy from raw total energies: -294 meV/atom

***

Entry 7:
VASP calculation (PBE-GGA) on a geometry-optimized LuCoNiSb structure.

POSCAR file:
```
LuCoNiSb
1.0
6.354 0.000 0.000
0.000 6.354 0.000
0.000 0.000 6.354
Lu Co Ni Sb
4 4 4 4
direct
0.000 0.000 0.000
0.000 0.500 0.500
0.500 0.000 0.500
0.500 0.500 0.000
0.250 0.250 0.750
0.250 0.750 0.250
0.750 0.250 0.250
0.750 0.750 0.750
0.250 0.250 0.250
0.250 0.750 0.750
0.750 0.250 0.750
0.750 0.750 0.250
0.000 0.000 0.500
0.000 0.500 0.000
0.500 0.000 0.000
0.500 0.500 0.500
```

Computed properties:
- E_tot: -5.76 eV per atom
- Formation energy from raw total energies: -375 meV/atom

***

Entry 8:
VASP calculation (PBE-GGA) on a geometry-optimized Dy2SeN structure.

POSCAR file:
```
Dy2SeN
1.0
3.897 0.000 0.000
0.000 8.819 0.000
0.000 0.000 5.578
Dy Se N
4 2 2
direct
0.000 0.080 0.000
0.000 0.662 0.859
0.500 0.338 0.359
0.500 0.920 0.500
0.000 0.347 0.728
0.500 0.653 0.228
0.000 0.896 0.713
0.500 0.104 0.213
```

Computed properties:
- E_tot: -6.69 eV per atom
- Formation energy from raw total energies: -1438 meV/atom